1.
First-principles (GGA-PBE) data for a geometry-optimized YCrSe2 structure, as listed in Alexandria via LeMat-Bulk.

Formation energy without anion corrections = -873 meV/atom
Energy above the most stable polymorph in this dataset = 178 meV/atom
Density = 4.0 g/cm3
Spin magnetization = 15.00 μB/cell

```
data_YCrSe2
_chemical_formula_sum 'Y3 Cr3 Se6'
_cell_length_a 4.2146
_cell_length_b 4.2146
_cell_length_c 24.1012
_cell_angle_alpha 90.00
_cell_angle_beta 90.00
_cell_angle_gamma 120.00
_symmetry_space_group_name_H-M 'R -3 m'
_symmetry_Int_Tables_number 166
_symmetry_space_group_name_Hall '-R 3 2"'
loop_
_atom_site_label
_atom_site_fract_x
_atom_site_fract_y
_atom_site_fract_z
Y1 0.0000 0.0000 0.0000
Cr1 0.0000 0.0000 0.5000
Se1 0.0000 0.0000 0.3971
```

---

2.
First-principles (GGA-PBE) data for a geometry-optimized SrTa2Tc structure, as listed in Alexandria via LeMat-Bulk.

Energy above the most stable polymorph in this dataset = 159 meV/atom
Density = 9.4 g/cm3
Energy of formation = 233 kJ/mol of formula units
Spin magnetization = 0.00 μB/cell

```
data_SrTa2Tc
_chemical_formula_sum 'Sr2 Ta4 Tc2'
_cell_length_a 10.112
_cell_length_b 3.300
_cell_length_c 5.979
_cell_angle_alpha 90.00
_cell_angle_beta 104.37
_cell_angle_gamma 90.00
_symmetry_space_group_name_H-M 'C 1 m 1'
_symmetry_Int_Tables_number 8
_symmetry_space_group_name_Hall 'C -2y'
loop_
_atom_site_label
_atom_site_fract_x
_atom_site_fract_y
_atom_site_fract_z
Sr1 0.000 0.000 0.000
Ta1 0.210 0.000 0.622
Ta2 0.471 0.000 0.486
Tc1 0.271 0.500 0.343
```

---

3.
First-principles (GGA-PBE) data for a geometry-optimized Sr2Ga2Ag structure, as listed in Alexandria via LeMat-Bulk.

Energy above the most stable polymorph in this dataset = 50 meV/atom
Density = 5.1 g/cm3
Energy of formation = -160 kJ/mol of formula units
Spin magnetization = 0.00 μB/cell

```
data_Sr2Ga2Ag
_chemical_formula_sum 'Sr4 Ga4 Ag2'
_cell_length_a 3.967
_cell_length_b 4.699
_cell_length_c 14.627
_cell_angle_alpha 90.00
_cell_angle_beta 90.00
_cell_angle_gamma 90.00
_symmetry_space_group_name_H-M 'A m m 2'
_symmetry_Int_Tables_number 38
_symmetry_space_group_name_Hall 'A 2 -2'
loop_
_atom_site_label
_atom_site_fract_x
_atom_site_fract_y
_atom_site_fract_z
Sr1 0.000 0.000 0.000
Sr2 0.000 0.000 0.241
Ga1 0.500 0.000 0.624
Ga2 0.500 0.000 0.818
Ag1 0.500 0.000 0.421
```

---

4.
First-principles (GGA-PBE) data for a geometry-optimized Na3Sn2Hg5 structure, as listed in Alexandria via LeMat-Bulk.

Density = 7.4 g/cm3
Energy of formation = -86 kJ/mol of formula units
Spin magnetization = 0.00 μB/cell

```
data_Na3Sn2Hg5
_chemical_formula_sum 'Na12 Sn8 Hg20'
_cell_length_a 9.454
_cell_length_b 12.706
_cell_length_c 9.757
_cell_angle_alpha 90.00
_cell_angle_beta 90.00
_cell_angle_gamma 90.00
_symmetry_space_group_name_H-M 'I b a m'
_symmetry_Int_Tables_number 72
_symmetry_space_group_name_Hall '-I 2 2c'
loop_
_atom_site_label
_atom_site_fract_x
_atom_site_fract_y
_atom_site_fract_z
Na1 0.000 0.000 0.250
Na2 0.235 0.380 0.000
Sn1 0.093 0.141 0.000
Hg1 0.000 0.251 0.250
Hg2 0.000 0.500 0.250
Hg3 0.106 0.379 0.500
```

---

5.
First-principles (GGA-PBE) data for a geometry-optimized CaHfGaS2 structure, as listed in Alexandria via LeMat-Bulk.

Formation energy without anion corrections = 680 meV/atom
Density = 3.8 g/cm3
Spin magnetization = 1.26 μB/cell

```
data_CaHfGaS2
_chemical_formula_sum 'Ca1 Hf1 Ga1 S2'
_cell_length_a 5.057
_cell_length_b 5.057
_cell_length_c 5.948
_cell_angle_alpha 90.00
_cell_angle_beta 90.00
_cell_angle_gamma 90.00
_symmetry_space_group_name_H-M 'P 4/m m m'
_symmetry_Int_Tables_number 123
_symmetry_space_group_name_Hall '-P 4 2'
loop_
_atom_site_label
_atom_site_fract_x
_atom_site_fract_y
_atom_site_fract_z
Ca1 0.000 0.000 0.000
Hf1 0.000 0.000 0.500
Ga1 0.500 0.500 0.500
S1 0.000 0.500 0.000
```

---

6.
First-principles (GGA-PBE) data for a geometry-optimized Ca2TlCd2 structure, as listed in Alexandria via LeMat-Bulk.

Energy above the most stable polymorph in this dataset = 109 meV/atom
Density = 5.5 g/cm3
Energy of formation = -94 kJ/mol of formula units
Spin magnetization = 0.00 μB/cell

```
data_Ca2TlCd2
_chemical_formula_sum 'Ca4 Tl2 Cd4'
_cell_length_a 4.090
_cell_length_b 4.090
_cell_length_c 18.351
_cell_angle_alpha 90.00
_cell_angle_beta 90.00
_cell_angle_gamma 90.00
_symmetry_space_group_name_H-M 'I 4/m m m'
_symmetry_Int_Tables_number 139
_symmetry_space_group_name_Hall '-I 4 2'
loop_
_atom_site_label
_atom_site_fract_x
_atom_site_fract_y
_atom_site_fract_z
Ca1 0.000 0.000 0.099
Tl1 0.000 0.000 0.500
Cd1 0.000 0.500 0.250
```

---

7.
First-principles (GGA-PBE) data for a geometry-optimized CaPmAu2 structure, as listed in Alexandria via LeMat-Bulk.

Energy above the most stable polymorph in this dataset = 0 meV/atom
Density = 9.8 g/cm3
Energy of formation = -313 kJ/mol of formula units
Spin magnetization = 0.00 μB/cell

```
data_CaPmAu2
_chemical_formula_sum 'Ca4 Pm4 Au8'
_cell_length_a 7.314
_cell_length_b 7.314
_cell_length_c 7.314
_cell_angle_alpha 90.00
_cell_angle_beta 90.00
_cell_angle_gamma 90.00
_symmetry_space_group_name_H-M 'F m -3 m'
_symmetry_Int_Tables_number 225
_symmetry_space_group_name_Hall '-F 4 2 3'
loop_
_atom_site_label
_atom_site_fract_x
_atom_site_fract_y
_atom_site_fract_z
Ca1 0.000 0.000 0.000
Pm1 0.000 0.000 0.500
Au1 0.250 0.250 0.250
```

---

8.
First-principles (GGA-PBE) data for a geometry-optimized Dy2BeAs structure, as listed in Alexandria via LeMat-Bulk.

Density = 5.7 g/cm3
Energy of formation = 50 kJ/mol of formula units
Spin magnetization = 0.78 μB/cell

```
data_Dy2BeAs
_chemical_formula_sum 'Dy6 Be3 As3'
_cell_length_a 3.8638
_cell_length_b 3.8638
_cell_length_c 27.6838
_cell_angle_alpha 90.00
_cell_angle_beta 90.00
_cell_angle_gamma 120.00
_symmetry_space_group_name_H-M 'R -3 m'
_symmetry_Int_Tables_number 166
_symmetry_space_group_name_Hall '-R 3 2"'
loop_
_atom_site_label
_atom_site_fract_x
_atom_site_fract_y
_atom_site_fract_z
Dy1 0.0000 0.0000 0.1054
Be1 0.0000 0.0000 0.0000
As1 0.0000 0.0000 0.5000
```

---

Question: Which of these has the highest density?
Answer: CaPmAu2

---

Repeat the fifth record exactly.
First-principles (GGA-PBE) data for a geometry-optimized CaHfGaS2 structure, as listed in Alexandria via LeMat-Bulk.

Formation energy without anion corrections = 680 meV/atom
Density = 3.8 g/cm3
Spin magnetization = 1.26 μB/cell

```
data_CaHfGaS2
_chemical_formula_sum 'Ca1 Hf1 Ga1 S2'
_cell_length_a 5.057
_cell_length_b 5.057
_cell_length_c 5.948
_cell_angle_alpha 90.00
_cell_angle_beta 90.00
_cell_angle_gamma 90.00
_symmetry_space_group_name_H-M 'P 4/m m m'
_symmetry_Int_Tables_number 123
_symmetry_space_group_name_Hall '-P 4 2'
loop_
_atom_site_label
_atom_site_fract_x
_atom_site_fract_y
_atom_site_fract_z
Ca1 0.000 0.000 0.000
Hf1 0.000 0.000 0.500
Ga1 0.500 0.500 0.500
S1 0.000 0.500 0.000
```

---

Question: Which value of spin magnetization does entry 6 give?
Answer: 0.00 μB/cell

---

Question: Among the records above, which one has the highest density?
Answer: CaPmAu2